Record 1
The following is a PBE calculation of crystalline LiAgMo2 at its relaxed geometry, from the Alexandria database.

Values from the calculation:
Density ... 7.86 g/cm3
Total energy ... -6.0692 eV per atom
Relative energy among the computed polymorphs ... 0.339 eV/atom
Calculated formation energy ... 0.538 eV/atom

Unit cell a=10.094 b=10.094 c=10.094 alpha=15.60 beta=15.60 gamma=15.60
Atoms (fractional coordinates):
Ag  0.250  0.250  0.250
Li  0.750  0.750  0.750
Mo  0.000  0.000  0.000
Mo  0.500  0.500  0.500

Record 2
The following is a PBE calculation of crystalline La2IrRu at its relaxed geometry, from the Alexandria database.

Values from the calculation:
Density ... 9.98 g/cm3
Total energy ... -7.2366 eV per atom
Calculated formation energy ... -0.239 eV/atom

Unit cell a=6.684 b=6.684 c=4.500 alpha=70.33 beta=70.33 gamma=30.28
Atoms (fractional coordinates):
Ir  0.208  0.208  0.292
La  0.986  0.986  0.014
La  0.765  0.765  0.735
Ru  0.541  0.541  0.459

Record 3
The following is a PBE calculation of crystalline Th4SiRh12 at its relaxed geometry, from the Alexandria database.

Values from the calculation:
Formation energy (no corrections) ... -0.85 eV/atom
Density ... 12.20 g/cm3
Total energy ... -8.1009 eV per atom

Unit cell a=7.289 b=7.289 c=7.289 alpha=109.47 beta=109.47 gamma=109.47
Atoms (fractional coordinates):
Th  0.000  0.000  0.500
Th  0.500  0.000  0.000
Th  0.500  0.500  0.500
Th  0.000  0.500  0.000
Si  0.000  0.000  0.000
Rh  0.000  0.276  0.276
Rh  0.000  0.724  0.724
Rh  0.724  0.724  0.000
Rh  0.276  0.276  0.000
Rh  0.276  0.000  0.276
Rh  0.724  0.000  0.724
Rh  0.500  0.250  0.750
Rh  0.500  0.750  0.250
Rh  0.750  0.250  0.500
Rh  0.250  0.750  0.500
Rh  0.750  0.500  0.250
Rh  0.250  0.500  0.750

Record 4
The following is a PBE calculation of crystalline Hf2BeCuSi at its relaxed geometry, from the Alexandria database.

Values from the calculation:
Formation energy (no corrections) ... 0.60 eV/atom
Density ... 7.58 g/cm3
Total energy ... -6.0337 eV per atom

Unit cell a=4.883 b=4.205 c=4.883 alpha=90.00 beta=90.00 gamma=90.00
Atoms (fractional coordinates):
Be  0.500  0.500  0.500
Si  0.000  0.000  0.000
Hf  0.000  0.000  0.500
Hf  0.500  0.000  0.000
Cu  0.000  0.500  0.000

Record 5
The following is a PBE calculation of crystalline In2GaSi2Rh5 at its relaxed geometry, from the Alexandria database.

Values from the calculation:
Formation energy (no corrections) ... -0.51 eV/atom
Density ... 9.32 g/cm3
Total energy ... -6.1214 eV per atom

Unit cell a=3.381 b=9.578 c=9.578 alpha=90.00 beta=90.00 gamma=90.00
Atoms (fractional coordinates):
In  0.000  0.671  0.171
In  0.000  0.329  0.829
In  0.000  0.171  0.329
In  0.000  0.829  0.671
Ga  0.000  0.000  0.000
Ga  0.000  0.500  0.500
Si  0.000  0.130  0.630
Si  0.000  0.870  0.370
Si  0.000  0.630  0.870
Si  0.000  0.370  0.130
Rh  0.500  0.203  0.079
Rh  0.500  0.797  0.921
Rh  0.500  0.079  0.797
Rh  0.500  0.703  0.421
Rh  0.500  0.921  0.203
Rh  0.500  0.297  0.579
Rh  0.500  0.579  0.703
Rh  0.500  0.421  0.297
Rh  0.500  0.500  0.000
Rh  0.500  0.000  0.500

Record 6
The following is a PBE calculation of crystalline Tl3HgO at its relaxed geometry, from the Alexandria database.

Values from the calculation:
Formation energy (no corrections) ... 0.58 eV/atom
Density ... 7.49 g/cm3
Total energy ... -1.8873 eV per atom
Relative energy among the computed polymorphs ... 0.910 eV/atom

Unit cell a=5.688 b=5.688 c=5.688 alpha=90.00 beta=90.00 gamma=90.00
Atoms (fractional coordinates):
Tl  0.000  0.500  0.000
Tl  0.000  0.000  0.500
Tl  0.500  0.000  0.000
Hg  0.000  0.000  0.000
O  0.500  0.500  0.500

Record 7
The following is a PBE calculation of crystalline Y2AlCd2 at its relaxed geometry, from the Alexandria database.

Values from the calculation:
Density ... 5.22 g/cm3
Total energy ... -3.7276 eV per atom
Relative energy among the computed polymorphs ... 0.285 eV/atom
Calculated formation energy ... -0.027 eV/atom

Unit cell a=3.874 b=3.874 c=9.508 alpha=78.25 beta=78.25 gamma=90.00
Atoms (fractional coordinates):
Y  0.406  0.406  0.189
Y  0.594  0.594  0.811
Al  0.000  0.000  0.000
Cd  0.750  0.250  0.500
Cd  0.250  0.750  0.500

Record 8
The following is a PBE calculation of crystalline Rb2CaInBr5 at its relaxed geometry, from the Alexandria database.

Values from the calculation:
Formation energy (no corrections) ... -1.58 eV/atom
Density ... 3.34 g/cm3
Total energy ... -3.2546 eV per atom

Unit cell a=4.527 b=10.235 c=15.968 alpha=90.00 beta=90.00 gamma=102.78
Atoms (fractional coordinates):
Rb  0.863  0.727  0.798
Rb  0.076  0.152  0.645
Rb  0.137  0.273  0.298
Rb  0.924  0.848  0.145
Ca  0.766  0.532  0.534
Ca  0.234  0.468  0.034
In  0.551  0.101  0.947
In  0.449  0.899  0.447
Br  0.374  0.747  0.987
Br  0.709  0.418  0.916
Br  0.494  0.989  0.765
Br  0.249  0.498  0.656
Br  0.906  0.812  0.577
Br  0.626  0.253  0.487
Br  0.291  0.582  0.416
Br  0.506  0.011  0.265
Br  0.751  0.502  0.156
Br  0.094  0.188  0.077